Record 1
An optimized crystal structure of Hf, computed with GGA-PBE.

```
data_Hf
_cell_length_a 4.5754
_cell_length_b 4.5754
_cell_length_c 4.5754
_cell_angle_alpha 60.00
_cell_angle_beta 60.00
_cell_angle_gamma 60.00
_space_group_name_H-M_alt 'P 1'
_space_group_IT_number 1
_space_group_name_Hall 'P 1'
loop_
_atom_site_label
_atom_site_type_symbol
_atom_site_fract_x
_atom_site_fract_y
_atom_site_fract_z
_atom_site_occupancy
Hf1 Hf 0.1250 0.1250 0.1250 1
Hf2 Hf 0.8750 0.8750 0.8750 1
```

Record 2
An optimized crystal structure of Hf, computed with GGA-PBE.

```
data_Hf
_cell_length_a 5.6210
_cell_length_b 5.6210
_cell_length_c 5.6210
_cell_angle_alpha 90.00
_cell_angle_beta 90.00
_cell_angle_gamma 90.00
_space_group_name_H-M_alt 'P 1'
_space_group_IT_number 1
_space_group_name_Hall 'P 1'
loop_
_atom_site_label
_atom_site_type_symbol
_atom_site_fract_x
_atom_site_fract_y
_atom_site_fract_z
_atom_site_occupancy
Hf1 Hf 0.0000 0.0000 0.0000 1
Hf2 Hf 0.0000 0.2500 0.5000 1
Hf3 Hf 0.0000 0.7500 0.5000 1
Hf4 Hf 0.2500 0.5000 0.0000 1
Hf5 Hf 0.5000 0.0000 0.2500 1
Hf6 Hf 0.5000 0.0000 0.7500 1
Hf7 Hf 0.5000 0.5000 0.5000 1
Hf8 Hf 0.7500 0.5000 0.0000 1
```

Record 3
An optimized crystal structure of Hf, computed with GGA-PBE.

```
data_Hf
_cell_length_a 9.4376
_cell_length_b 9.4376
_cell_length_c 9.4376
_cell_angle_alpha 109.47
_cell_angle_beta 109.47
_cell_angle_gamma 109.47
_space_group_name_H-M_alt 'P 1'
_space_group_IT_number 1
_space_group_name_Hall 'P 1'
loop_
_atom_site_label
_atom_site_type_symbol
_atom_site_fract_x
_atom_site_fract_y
_atom_site_fract_z
_atom_site_occupancy
Hf1 Hf 0.0000 0.0000 0.0000 1
Hf2 Hf 0.0000 0.0000 0.6365 1
Hf3 Hf 0.0000 0.1870 0.3702 1
Hf4 Hf 0.0000 0.3702 0.1870 1
Hf5 Hf 0.0000 0.4080 0.6779 1
Hf6 Hf 0.0000 0.6365 0.0000 1
Hf7 Hf 0.0000 0.6779 0.4080 1
Hf8 Hf 0.1833 0.8130 0.8130 1
Hf9 Hf 0.1870 0.0000 0.3702 1
Hf10 Hf 0.1870 0.3702 0.0000 1
Hf11 Hf 0.2698 0.5920 0.5920 1
Hf12 Hf 0.3221 0.3221 0.7302 1
Hf13 Hf 0.3221 0.7302 0.3221 1
Hf14 Hf 0.3635 0.3635 0.3635 1
Hf15 Hf 0.3702 0.0000 0.1870 1
Hf16 Hf 0.3702 0.1870 0.0000 1
Hf17 Hf 0.4080 0.0000 0.6779 1
Hf18 Hf 0.4080 0.6779 0.0000 1
Hf19 Hf 0.5920 0.2698 0.5920 1
Hf20 Hf 0.5920 0.5920 0.2698 1
Hf21 Hf 0.6298 0.6298 0.8167 1
Hf22 Hf 0.6298 0.8167 0.6298 1
Hf23 Hf 0.6365 0.0000 0.0000 1
Hf24 Hf 0.6779 0.0000 0.4080 1
Hf25 Hf 0.6779 0.4080 0.0000 1
Hf26 Hf 0.7302 0.3221 0.3221 1
Hf27 Hf 0.8130 0.1833 0.8130 1
Hf28 Hf 0.8130 0.8130 0.1833 1
Hf29 Hf 0.8167 0.6298 0.6298 1
```

Record 4
An optimized crystal structure of Hf, computed with GGA-PBE.

```
data_Hf
_cell_length_a 4.9606
_cell_length_b 4.9606
_cell_length_c 4.9421
_cell_angle_alpha 90.00
_cell_angle_beta 90.00
_cell_angle_gamma 120.00
_space_group_name_H-M_alt 'P 1'
_space_group_IT_number 1
_space_group_name_Hall 'P 1'
loop_
_atom_site_label
_atom_site_type_symbol
_atom_site_fract_x
_atom_site_fract_y
_atom_site_fract_z
_atom_site_occupancy
Hf1 Hf 0.0000 0.0000 0.2500 1
Hf2 Hf 0.0000 0.0000 0.7500 1
Hf3 Hf 0.3333 0.6667 0.2500 1
Hf4 Hf 0.6667 0.3333 0.7500 1
```

Record 5
An optimized crystal structure of Hf, computed with GGA-PBE.

```
data_Hf
_cell_length_a 4.1838
_cell_length_b 4.1838
_cell_length_c 4.1838
_cell_angle_alpha 97.42
_cell_angle_beta 97.42
_cell_angle_gamma 137.88
_space_group_name_H-M_alt 'P 1'
_space_group_IT_number 1
_space_group_name_Hall 'P 1'
loop_
_atom_site_label
_atom_site_type_symbol
_atom_site_fract_x
_atom_site_fract_y
_atom_site_fract_z
_atom_site_occupancy
Hf1 Hf 0.3750 0.6250 0.7500 1
Hf2 Hf 0.6250 0.3750 0.2500 1
```

Record 6
An optimized crystal structure of Hf, computed with GGA-PBE.

```
data_Hf
_cell_length_a 7.8456
_cell_length_b 7.8456
_cell_length_c 7.8456
_cell_angle_alpha 23.44
_cell_angle_beta 23.44
_cell_angle_gamma 23.44
_space_group_name_H-M_alt 'P 1'
_space_group_IT_number 1
_space_group_name_Hall 'P 1'
loop_
_atom_site_label
_atom_site_type_symbol
_atom_site_fract_x
_atom_site_fract_y
_atom_site_fract_z
_atom_site_occupancy
Hf1 Hf 0.0000 0.0000 0.0000 1
Hf2 Hf 0.2224 0.2224 0.2224 1
Hf3 Hf 0.7776 0.7776 0.7776 1
```

Record 7
An optimized crystal structure of Hf, computed with GGA-PBE.

```
data_Hf
_cell_length_a 5.3636
_cell_length_b 5.3364
_cell_length_c 3.0469
_cell_angle_alpha 73.95
_cell_angle_beta 72.97
_cell_angle_gamma 33.09
_space_group_name_H-M_alt 'P 1'
_space_group_IT_number 1
_space_group_name_Hall 'P 1'
loop_
_atom_site_label
_atom_site_type_symbol
_atom_site_fract_x
_atom_site_fract_y
_atom_site_fract_z
_atom_site_occupancy
Hf1 Hf 0.1472 0.1472 0.8528 1
Hf2 Hf 0.8528 0.8528 0.1472 1
```

Record 8
An optimized crystal structure of Hf, computed with GGA-PBE.

```
data_Hf
_cell_length_a 3.1155
_cell_length_b 3.1155
_cell_length_c 3.1155
_cell_angle_alpha 61.28
_cell_angle_beta 61.28
_cell_angle_gamma 61.28
_space_group_name_H-M_alt 'P 1'
_space_group_IT_number 1
_space_group_name_Hall 'P 1'
loop_
_atom_site_label
_atom_site_type_symbol
_atom_site_fract_x
_atom_site_fract_y
_atom_site_fract_z
_atom_site_occupancy
Hf1 Hf 0.0000 0.0000 0.0000 1
```

no.,density (g/cm3),ΔE_f (eV/atom)
1,8.75,2.687
2,13.35,0.243
3,13.28,0.218
4,11.26,1.376
5,12.93,0.658
6,13.25,0.032
7,13.05,0.379
8,13.47,0.080